1.
Compound: LuNpTc2
Source: Alexandria via LeMat-Bulk
Functional: PBE
Structure: relaxed

Summary:
The calculation puts the excess energy over the best structure of this formula in the dataset at 0 meV/atom. The energy of formation from the pure elements comes out at -0.07 eV/atom. The volume comes out at 19.0 Å³/atom.

Cell: 3.335 3.335 6.824 Å, 90.00 90.00 90.00°
Space group P4/mmm (No. 123)
Symmetry-distinct sites (fractional):
Lu 0.000 0.000 0.000 (multiplicity 1)
Np 0.000 0.000 0.500 (multiplicity 1)
Tc 0.500 0.500 0.284 (multiplicity 2)

=====

2.
Compound: LuNpTc2
Source: Alexandria via LeMat-Bulk
Functional: PBE
Structure: relaxed

Summary:
The calculation puts the excess energy over the best structure of this formula in the dataset at 88 meV/atom. The energy of formation from the pure elements comes out at 0.02 eV/atom. The volume comes out at 18.7 Å³/atom.

Cell: 4.754 4.754 3.316 Å, 90.00 90.00 90.00°
Space group P4/mmm (No. 123)
Symmetry-distinct sites (fractional):
Lu 0.000 0.000 0.000 (multiplicity 1)
Np 0.500 0.500 0.000 (multiplicity 1)
Tc 0.000 0.500 0.500 (multiplicity 2)

=====

3.
Compound: LuNpTc4
Source: Alexandria via LeMat-Bulk
Functional: PBE
Structure: relaxed

Summary:
The energy of formation from the pure elements comes out at 0.02 eV/atom. The volume comes out at 18.1 Å³/atom.

Cell: 7.580 7.580 7.580 Å, 90.00 90.00 90.00°
Space group F-43m (No. 216)
Symmetry-distinct sites (fractional):
Lu 0.000 0.000 0.000 (multiplicity 4)
Np 0.250 0.250 0.250 (multiplicity 4)
Tc 0.125 0.125 0.625 (multiplicity 16)